First-principles (PBE) data for a relaxed SrCdSn2S6 crystal, as listed in Alexandria via LeMat-Bulk. Values from VASP.

* magnetization: 0.00 μB per cell
* raw formation energy: -0.714 eV/atom

Geometry as Quantum ESPRESSO input:
```
&SYSTEM
  ibrav = 0, nat = 20, ntyp = 4
/
ATOMIC_SPECIES
Sr 87.62 Sr.upf
Cd 112.41 Cd.upf
Sn 118.71 Sn.upf
S 32.06 S.upf
CELL_PARAMETERS angstrom
7.3669 0.0147 0.0153
2.3820 8.9018 0.1557
2.3820 -0.1743 8.9015
ATOMIC_POSITIONS crystal
Sr 0.2500 0.8765 0.1235
Sr 0.7500 0.1235 0.8765
Cd 0.2500 0.2259 0.7741
Cd 0.7500 0.7741 0.2259
Sn 0.2939 0.7700 0.6194
Sn 0.2061 0.3806 0.2300
Sn 0.7061 0.2300 0.3806
Sn 0.7939 0.6194 0.7700
S 0.1627 0.9548 0.8176
S 0.3373 0.1824 0.0452
S 0.8373 0.0452 0.1824
S 0.6627 0.8176 0.9548
S 0.4157 0.8844 0.3843
S 0.0843 0.6157 0.1156
S 0.5843 0.1156 0.6157
S 0.9157 0.3843 0.8844
S 0.0288 0.6893 0.5549
S 0.4712 0.4451 0.3107
S 0.9712 0.3107 0.4451
S 0.5288 0.5549 0.6893
```